Entry 1:
This record from Alexandria describes Th2Sc2Bi2P after structural relaxation. The functional is GGA-PBE.

Values from the calculation:
D(E_F)   1.0082 states/eV per atom
Crystal system   tetragonal
Uncorrected energy   -6.5624 eV per atom
Symmetry   I4/mmm
Calculated formation energy   -508 kJ/mol of formula units

Cell: 4.8319 4.8319 8.9738 Å, 105.62 105.62 90.00°
With the nearest neighbours (Å) after each atom.
Fractional positions:
Sc 0.5000 0.0000 0.0000  2 P 2.42
Th 0.8317 0.8317 0.6634  1 P 2.79
Th 0.1683 0.1683 0.3366  1 P 2.79
P 0.0000 0.0000 0.0000  4 Sc 2.42
Bi 0.3684 0.3684 0.7367  4 Sc 3.26, 5 Th 3.32-3.47
Sc 0.0000 0.5000 0.0000  2 P 2.42
Bi 0.6316 0.6316 0.2633  4 Sc 3.26, 5 Th 3.32-3.47



Entry 2:
This record from Alexandria describes PmDy5Hg6 after structural relaxation. The functional is GGA-PBE.

Values from the calculation:
D(E_F)   1.1594 states/eV per atom
Crystal system   monoclinic
Uncorrected energy   -2.9400 eV per atom
Symmetry   C2/m
Calculated formation energy   -551 kJ/mol of formula units

Cell: 5.2579 9.1361 9.1361 Å, 119.60 106.70 106.70°
With the nearest neighbours (Å) after each atom.
Fractional positions:
Hg 0.7425 0.5734 0.9123  7 Dy 3.20-3.27, 1 Pm 3.30
Dy 0.0000 0.3312 0.6688  8 Hg 3.20-3.21
Hg 0.7425 0.9123 0.5734  7 Dy 3.20-3.27, 1 Pm 3.30
Hg 0.7628 0.2628 0.2628  6 Dy 3.18-3.25, 2 Pm 3.29
Hg 0.2575 0.4266 0.0877  7 Dy 3.20-3.27, 1 Pm 3.30
Dy 0.5000 0.1634 0.8366  8 Hg 3.21-3.27
Dy 0.5000 0.5000 0.5000  8 Hg 3.18-3.24
Hg 0.2575 0.0877 0.4266  7 Dy 3.20-3.27, 1 Pm 3.30
Pm 0.0000 0.0000 0.0000  8 Hg 3.29-3.30, 4 Dy 3.68
Dy 0.0000 0.6688 0.3312  8 Hg 3.20-3.21
Dy 0.5000 0.8366 0.1634  8 Hg 3.21-3.27
Hg 0.2372 0.7372 0.7372  6 Dy 3.18-3.25, 2 Pm 3.29



Entry 3:
This record from Alexandria describes Dy3RhSe2 after structural relaxation. The functional is GGA-PBE.

Values from the calculation:
D(E_F)   0.7494 states/eV per atom
Crystal system   tetragonal
Uncorrected energy   -6.0909 eV per atom
Symmetry   I4/mmm

Cell: 4.0767 4.0765 9.1592 Å, 102.85 102.85 90.02°
With the nearest neighbours (Å) after each atom.
Fractional positions:
Rh 0.4342 0.4359 0.8740  6 Dy 2.68-2.88
Se 0.7596 0.7610 0.5247  6 Dy 2.90-3.04
Dy 0.5882 0.5896 0.1819  1 Rh 2.68, 5 Se 2.90-2.98
Dy 0.2803 0.2816 0.5660  1 Rh 2.68, 5 Se 2.90-2.98
Dy 0.9341 0.9359 0.8740  4 Rh 2.88, 2 Se 3.04
Se 0.1088 0.1102 0.2232  6 Dy 2.90-3.04



Entry 4:
This record from Alexandria describes CuReNi2 after structural relaxation. The functional is GGA-PBE.

Values from the calculation:
D(E_F)   1.3879 states/eV per atom
Crystal system   tetragonal
Uncorrected energy   -6.8422 eV per atom
Symmetry   I4/mmm
Calculated formation energy   71 kJ/mol of formula units

Cell: 4.4102 4.4102 4.4102 Å, 130.63 130.63 72.41°
With the nearest neighbours (Å) after each atom.
Fractional positions:
Re 0.2500 0.7500 0.5000  8 Ni 2.56, 4 Cu 2.60
Ni 0.0000 0.0000 0.0000  4 Cu 2.56, 4 Re 2.56, 4 Ni 2.60
Cu 0.7500 0.2500 0.5000  8 Ni 2.56, 4 Re 2.60
Ni 0.5000 0.5000 0.0000  4 Re 2.56, 4 Cu 2.56, 4 Ni 2.60



Entry 5:
This record from Alexandria describes BaTa2Sb after structural relaxation. The functional is GGA-PBE.

Values from the calculation:
D(E_F)   1.0788 states/eV per atom
Crystal system   monoclinic
Uncorrected energy   -7.0850 eV per atom
Symmetry   Cm

Cell: 4.8362 4.8362 7.3769 Å, 82.95 82.95 40.66°
With the nearest neighbours (Å) after each atom.
Fractional positions:
Ta 0.9987 0.9987 0.9851  3 Ta 2.76-2.79, 3 Sb 2.90
Ba 0.5103 0.5103 0.5020  2 Ba 3.36, 3 Ta 3.41-3.76, 3 Sb 3.55-3.57
Sb 0.2637 0.2637 0.1666  5 Ta 2.90-2.95
Ta 0.7272 0.7272 0.8462  3 Ta 2.76-2.79, 2 Sb 2.95



Entry 6:
This record from Alexandria describes Mg2Ga3Ni2 after structural relaxation. The functional is GGA-PBE.

Values from the calculation:
D(E_F)   0.3322 states/eV per atom
Crystal system   monoclinic
Uncorrected energy   -3.7632 eV per atom
Symmetry   C2/m
Calculated formation energy   -242 kJ/mol of formula units

Cell: 3.9336 5.0489 6.5413 Å, 111.14 90.00 112.93°
With the nearest neighbours (Å) after each atom.
Fractional positions:
Ga 0.5000 0.0000 0.0000  4 Ni 2.40
Ni 0.8727 0.7454 0.8008  5 Ga 2.40-2.56, 1 Mg 2.63
Mg 0.1534 0.3067 0.7924  4 Ni 2.63-2.82, 2 Ga 2.92
Mg 0.8466 0.6933 0.2076  4 Ni 2.63-2.82, 2 Ga 2.92
Ga 0.6363 0.2725 0.4541  3 Ni 2.46-2.56, 1 Ga 2.74
Ga 0.3637 0.7275 0.5459  3 Ni 2.46-2.56, 1 Ga 2.74
Ni 0.1273 0.2546 0.1992  5 Ga 2.40-2.56, 1 Mg 2.63



Entry 7:
This record from Alexandria describes Na2Sr2LiHg4 after structural relaxation. The functional is GGA-PBE.

Values from the calculation:
D(E_F)   0.8765 states/eV per atom
Crystal system   tetragonal
Uncorrected energy   -1.3279 eV per atom
Symmetry   I4/mmm
Calculated formation energy   -273 kJ/mol of formula units

Cell: 6.9731 6.9731 6.9731 Å, 100.64 114.06 114.06°
With the nearest neighbours (Å) after each atom.
Fractional positions:
Li 0.0000 0.0000 0.0000  4 Hg 2.64, 2 Na 2.81
Sr 0.5000 0.7500 0.2500  8 Hg 3.49, 4 Na 3.84
Hg 0.0000 0.7541 0.2459  1 Li 2.64
Na 0.0000 0.3159 0.3159  1 Li 2.81
Hg 0.4919 0.2459 0.2459  1 Li 2.64
Sr 0.5000 0.2500 0.7500  8 Hg 3.49, 4 Na 3.84
Hg 0.0000 0.2459 0.7541  1 Li 2.64
Hg 0.5081 0.7541 0.7541  1 Li 2.64
Na 0.0000 0.6841 0.6841  1 Li 2.81



Entry 8:
This record from Alexandria describes Er6Ni5Rh after structural relaxation. The functional is GGA-PBE.

Values from the calculation:
D(E_F)   0.5409 states/eV per atom
Crystal system   orthorhombic
Uncorrected energy   -5.8201 eV per atom
Symmetry   Cmmm
Calculated formation energy   -599 kJ/mol of formula units

Cell: 4.7621 6.6684 7.5207 Å, 90.00 71.54 90.00°
With the nearest neighbours (Å) after each atom.
Fractional positions:
Er 0.5000 0.2514 0.0000  6 Ni 2.89-2.90, 2 Rh 2.91
Er 0.1672 0.7497 0.6655  7 Ni 2.90-2.91, 1 Rh 2.91
Er 0.8328 0.2503 0.3345  7 Ni 2.90-2.91, 1 Rh 2.91
Ni 0.3339 0.5000 0.3323  8 Er 2.89-2.91
Er 0.1673 0.2503 0.6655  7 Ni 2.90-2.91, 1 Rh 2.91
Er 0.8327 0.7497 0.3345  7 Ni 2.90-2.91, 1 Rh 2.91
Ni 0.0000 0.5000 0.0000  8 Er 2.90-2.91
Ni 0.6658 0.0000 0.6684  8 Er 2.90-2.91
Ni 0.3342 0.0000 0.3316  8 Er 2.90-2.91
Ni 0.6661 0.5000 0.6677  8 Er 2.89-2.91
Er 0.5000 0.7486 0.0000  6 Ni 2.89-2.90, 2 Rh 2.91
Rh 0.0000 0.0000 0.0000  8 Er 2.91



Entry 9:
This record from Alexandria describes SrTl2NiBi after structural relaxation. The functional is GGA-PBE.

Values from the calculation:
D(E_F)   0.5886 states/eV per atom
Crystal system   tetragonal
Uncorrected energy   -3.3771 eV per atom
Symmetry   P4/mmm
Calculated formation energy   -78 kJ/mol of formula units

Cell: 5.0898 5.0898 5.6707 Å, 90.00 90.00 90.00°
With the nearest neighbours (Å) after each atom.
Fractional positions:
Tl 0.0000 0.5000 0.0000  2 Ni 2.54
Sr 0.5000 0.5000 0.5000  4 Bi 3.60, 8 Tl 3.81
Ni 0.0000 0.0000 0.0000  4 Tl 2.54, 2 Bi 2.84
Tl 0.5000 0.0000 0.0000  2 Ni 2.54
Bi 0.0000 0.0000 0.5000  2 Ni 2.84



Entry 10:
This record from Alexandria describes HfGeIr after structural relaxation. The functional is GGA-PBE.

Values from the calculation:
D(E_F)   0.5912 states/eV per atom
Crystal system   orthorhombic
Uncorrected energy   -8.6479 eV per atom
Symmetry   Pnma
Calculated formation energy   -242 kJ/mol of formula units

Cell: 4.0533 6.5370 7.5812 Å, 90.00 90.00 90.00°
With the nearest neighbours (Å) after each atom.
Fractional positions:
Ir 0.7500 0.6553 0.5639  4 Ge 2.51-2.57
Hf 0.2500 0.4771 0.8144  5 Ge 2.81-2.86, 6 Ir 3.00-3.06
Ir 0.2500 0.3447 0.4361  4 Ge 2.51-2.57
Ge 0.7500 0.7680 0.8806  4 Ir 2.51-2.57
Hf 0.2500 0.9771 0.6856  5 Ge 2.81-2.86, 6 Ir 3.00-3.06
Ir 0.7500 0.1553 0.9361  4 Ge 2.51-2.57
Ge 0.2500 0.2320 0.1194  4 Ir 2.51-2.57
Hf 0.7500 0.5229 0.1856  5 Ge 2.81-2.86, 6 Ir 3.00-3.06
Ge 0.7500 0.2680 0.6194  4 Ir 2.51-2.57
Ge 0.2500 0.7320 0.3806  4 Ir 2.51-2.57
Hf 0.7500 0.0229 0.3144  5 Ge 2.81-2.86, 6 Ir 3.00-3.06
Ir 0.2500 0.8447 0.0639  4 Ge 2.51-2.57



Entry 11:
This record from Alexandria describes LiZrRe2 after structural relaxation. The functional is GGA-PBE.

Values from the calculation:
D(E_F)   0.7688 states/eV per atom
Crystal system   monoclinic
Uncorrected energy   -8.6708 eV per atom
Symmetry   P2/m
Calculated formation energy   65 kJ/mol of formula units

Cell: 4.6353 2.6936 5.1929 Å, 80.71 90.00 90.00°
With the nearest neighbours (Å) after each atom.
Fractional positions:
Li 0.5000 0.7500 0.7500  2 Li 2.69, 2 Zr 2.73, 4 Re 2.77
Re 0.0000 0.9998 0.9906  4 Re 2.64-2.81, 2 Li 2.77, 2 Zr 2.82
Zr 0.5000 0.2500 0.2500  2 Zr 2.69, 2 Li 2.73, 4 Re 2.82
Re 0.0000 0.5002 0.5094  4 Re 2.64-2.81, 2 Li 2.77, 2 Zr 2.82



> Which of these has the lowest D(E_F)?

Mg2Ga3Ni2